## P
Density functional theory data (SCAN) for KHg2Rh at its PBEsol-relaxed geometry.

Structure (CIF):
```
data_KHg2Rh
_space_group_name_H-M_alt 'P 4 m m'
_space_group_IT_number 99
_cell_length_a 3.653
_cell_length_b 3.653
_cell_length_c 7.608
_cell_angle_alpha 90.00
_cell_angle_beta 90.00
_cell_angle_gamma 90.00
loop_
_space_group_symop_operation_xyz
'x,y,z'
'-y,x,z'
'-x,-y,z'
'y,-x,z'
'-x,y,z'
'y,x,z'
'x,-y,z'
'-y,-x,z'
loop_
_atom_site_label
_atom_site_type_symbol
_atom_site_fract_x
_atom_site_fract_y
_atom_site_fract_z
K1 K 0.000 0.000 0.000
Hg1 Hg 0.000 0.000 0.420
Hg2 Hg 0.500 0.500 0.693
Rh1 Rh 0.500 0.500 0.336
```



## Q
Density functional theory data (SCAN) for KHg2Rh at its PBEsol-relaxed geometry.

Structure (CIF):
```
data_KHg2Rh
_space_group_name_H-M_alt 'I m m 2'
_space_group_IT_number 44
_cell_length_a 3.089
_cell_length_b 4.422
_cell_length_c 14.785
_cell_angle_alpha 90.00
_cell_angle_beta 90.00
_cell_angle_gamma 90.00
loop_
_space_group_symop_operation_xyz
'x,y,z'
'-x,-y,z'
'-x,y,z'
'x,-y,z'
'x+1/2,y+1/2,z+1/2'
'-x+1/2,-y+1/2,z+1/2'
'-x+1/2,y+1/2,z+1/2'
'x+1/2,-y+1/2,z+1/2'
loop_
_atom_site_label
_atom_site_type_symbol
_atom_site_fract_x
_atom_site_fract_y
_atom_site_fract_z
K1 K 0.000 0.000 0.000
Hg1 Hg 0.000 0.000 0.349
Hg2 Hg 0.000 0.500 0.184
Rh1 Rh 0.000 0.500 0.696
```



Stability ranking, top and bottom: Q is the most stable and P is the least stable.



## P
Density functional theory data (SCAN) for KHgRu at its PBEsol-relaxed geometry.

Structure (CIF):
```
data_KHgRu
_space_group_name_H-M_alt 'P 3 m 1'
_space_group_IT_number 156
_cell_length_a 5.1393
_cell_length_b 5.1393
_cell_length_c 2.7188
_cell_angle_alpha 90.00
_cell_angle_beta 90.00
_cell_angle_gamma 120.00
loop_
_space_group_symop_operation_xyz
'x,y,z'
'-y,x-y,z'
'-x+y,-x,z'
'-y,-x,z'
'-x+y,y,z'
'x,x-y,z'
loop_
_atom_site_label
_atom_site_type_symbol
_atom_site_fract_x
_atom_site_fract_y
_atom_site_fract_z
K1 K 0.0000 0.0000 0.0000
Hg1 Hg 0.6667 0.3333 0.5018
Ru1 Ru 0.3333 0.6667 0.4997
```



## Q
Density functional theory data (SCAN) for KHgRu at its PBEsol-relaxed geometry.

Structure (CIF):
```
data_KHgRu
_space_group_name_H-M_alt 'F -4 3 m'
_space_group_IT_number 216
_space_group_name_Hall 'F -4 2 3'
_cell_length_a 6.945
_cell_length_b 6.945
_cell_length_c 6.945
_cell_angle_alpha 90.00
_cell_angle_beta 90.00
_cell_angle_gamma 90.00
loop_
_atom_site_label
_atom_site_type_symbol
_atom_site_fract_x
_atom_site_fract_y
_atom_site_fract_z
K1 K 0.000 0.000 0.000
Hg1 Hg 0.250 0.250 0.250
Ru1 Ru 0.250 0.250 0.750
```



## R
Density functional theory data (SCAN) for KHgRu at its PBEsol-relaxed geometry.

Structure (CIF):
```
data_KHgRu
_space_group_name_H-M_alt 'F -4 3 m'
_space_group_IT_number 216
_space_group_name_Hall 'F -4 2 3'
_cell_length_a 6.854
_cell_length_b 6.854
_cell_length_c 6.854
_cell_angle_alpha 90.00
_cell_angle_beta 90.00
_cell_angle_gamma 90.00
loop_
_atom_site_label
_atom_site_type_symbol
_atom_site_fract_x
_atom_site_fract_y
_atom_site_fract_z
K1 K 0.000 0.000 0.000
Hg1 Hg 0.250 0.250 0.250
Ru1 Ru 0.000 0.000 0.500
```



Stability ranking, top and bottom: P is the most stable and Q is the least stable.